A plane-wave DFT calculation with PBE-GGA was carried out for a geometry-optimized LaTi2W structure.

Lattice parameters (Å, degrees): 4.783 4.783 4.783 60.00 60.00 60.00
Sites, in units of the cell vectors:
Ti (0.250, 0.250, 0.250)
Ti (0.750, 0.750, 0.750)
W (0.500, 0.500, 0.500)
La (0.000, 0.000, 0.000)

E_tot, eV/f.u.: -32.0
Calculated density, g cm⁻³: 8.98
Symmetry: Fm-3m
Calculated formation energy, eV/f.u.: 1.651
Magnetization, μB per formula unit: 0.0
Distance to the lowest polymorph of the same formula, meV per atom: 254